Record 1
This record from OQMD via LeMat-Bulk describes a geometry-optimized Ho3Mg3GaAgIr structure. The functional is PBE.

Calculated values
DFT total energy (eV/atom): -4.179
Space group: P-6, No. 174

abc: 7.6688 7.6688 3.9265
angles: 90.00 90.00 120.00
Atoms (fractional coordinates):
Ga (0.3333, 0.6667, 0.5000)
Ho (0.9748, 0.4047, 0.0000)
Ho (0.5953, 0.5701, 0.0000)
Ho (0.4299, 0.0252, 0.0000)
Mg (0.2532, 0.2559, 0.5000)
Mg (0.0027, 0.7468, 0.5000)
Mg (0.7441, 0.9973, 0.5000)
Ag (0.0000, 0.0000, 0.0000)
Ir (0.6667, 0.3333, 0.5000)


Record 2
This record from OQMD via LeMat-Bulk describes a geometry-optimized Tb2HoGa3AgIr2 structure. The functional is PBE.

Calculated values
DFT total energy (eV/atom): -5.540
Space group: Amm2, No. 38

abc: 3.8898 7.2918 7.2918
angles: 119.73 90.00 90.00
Atoms (fractional coordinates):
Ga (0.5000, 0.7276, 0.7276)
Ga (0.5000, 0.2715, 0.0010)
Ga (0.5000, 0.0010, 0.2715)
Ho (0.0000, 0.4103, 0.4103)
Ag (0.0000, 0.0014, 0.0014)
Tb (0.0000, 0.0000, 0.5896)
Tb (0.0000, 0.5896, 0.0000)
Ir (0.5000, 0.6647, 0.3339)
Ir (0.5000, 0.3339, 0.6647)


Record 3
This record from OQMD via LeMat-Bulk describes a geometry-optimized TbHo2Ga3AgIr2 structure. The functional is PBE.

Calculated values
DFT total energy (eV/atom): -5.539
Space group: Amm2, No. 38

abc: 3.8578 7.3178 7.3178
angles: 120.25 90.00 90.00
Atoms (fractional coordinates):
Tb (0.0000, 0.4107, 0.4107)
Ir (0.5000, 0.3327, 0.6684)
Ir (0.5000, 0.6684, 0.3327)
Ho (0.0000, 0.0000, 0.5894)
Ho (0.0000, 0.5894, 0.0000)
Ga (0.5000, 0.7293, 0.7293)
Ga (0.5000, 0.2716, 0.9991)
Ga (0.5000, 0.9991, 0.2716)
Ag (0.0000, 0.9987, 0.9987)


Record 4
This record from OQMD via LeMat-Bulk describes a geometry-optimized Ho3Mg3Ga2Ag structure. The functional is PBE.

Calculated values
DFT total energy (eV/atom): -3.480
Space group: P-62m, No. 189

abc: 7.3659 7.3659 4.3216
angles: 90.00 90.00 120.00
Atoms (fractional coordinates):
Ga (0.3333, 0.6667, 0.5000)
Ga (0.6667, 0.3333, 0.5000)
Ho (0.4222, 0.0000, 0.0000)
Ho (0.0000, 0.4222, 0.0000)
Ho (0.5778, 0.5778, 0.0000)
Ag (0.0000, 0.0000, 0.0000)
Mg (0.0000, 0.7540, 0.5000)
Mg (0.7540, 0.0000, 0.5000)
Mg (0.2460, 0.2460, 0.5000)